VASP calculation (PBE with a Hubbard U) on a geometry-optimized ZnCrF3 structure.

The structure in extended XYZ format:
```
5
Lattice="4.1129 0.0000 0.0000 0.0000 4.1129 0.0000 0.0000 0.0000 4.1129" Properties=species:S:1:pos:R:3 pbc="T T T"
Cr 0.0000 0.0000 0.0000
F 0.0000 2.0565 0.0000
Zn 2.0565 2.0565 2.0565
F 0.0000 0.0000 2.0565
F 2.0565 0.0000 0.0000
```

Values from the calculation:
Excess energy over the best structure of this formula in the dataset in eV/atom: 0.000
M_tot in μB/f.u.: 4.0
Volume in Å³ per cell: 69.6